Record 1
Li2LaCr | PBE | optimized geometry

The structure in POSCAR format:
```
Li2LaCr
1.0
3.136 0.000 0.000
0.000 4.686 0.000
0.000 0.000 6.098
Li La Cr
2 1 1
Direct
0.000 0.000 0.205
0.000 0.000 0.795
0.500 0.500 0.500
0.500 0.500 0.000
```

Values from the calculation:
- volume (Å³ per cell) = 90
- excess energy over the best structure of this formula in the dataset (eV/atom) = 0.087
- calculated total energy (eV per atom) = -4.16
- symmetry = Pmmm (47)
- calculated formation energy (eV/atom) = 0.439

=====

Record 2
MgMnZn2 | PBE | optimized geometry

The structure in POSCAR format:
```
MgMnZn2
1.0
1.432 0.827 9.087
-1.432 0.827 9.087
0.000 -1.653 9.087
Mg Mn Zn
1 1 2
Direct
0.000 0.000 0.000
0.248 0.248 0.248
0.505 0.505 0.505
0.756 0.756 0.756
```

Values from the calculation:
- volume (Å³ per cell) = 65
- calculated total energy (eV per atom) = -3.14
- symmetry = R3m (160)
- calculated formation energy (eV/atom) = 0.186